Compound: BaNdZr
Source: OQMD
Functional: PBE-GGA
Structure: optimized geometry

Geometry as POSCAR:
```
BaNdZr
1.0
0.0000 3.9777 3.9777
3.9777 0.0000 3.9777
3.9777 3.9777 0.0000
Ba Nd Zr
1 1 1
direct
0.2500 0.2500 0.2500 Ba
0.7500 0.7500 0.7500 Nd
0.0000 0.0000 0.0000 Zr
```

Distance to the lowest polymorph of the same formula, meV/atom: 0
SG: F-43m, No. 216

=====

Compound: Ba2Ni3
Source: OQMD
Functional: PBE-GGA
Structure: optimized geometry

Geometry as POSCAR:
```
Ba2Ni3
1.0
-1.6912 3.4922 -1.5091
-2.1798 -2.4144 2.5985
3.2465 4.5935 6.9915
Ba Ni
2 3
direct
0.0000 0.0000 0.2786 Ba
0.6667 0.3333 0.7210 Ba
0.6667 0.3333 0.0380 Ni
0.0000 0.0000 0.9639 Ni
0.3333 0.6667 0.9984 Ni
```

Final energy, eV per atom: -4.1547
SG: P3m1, No. 156

=====

Compound: Ba2Ni3
Source: OQMD
Functional: PBE-GGA
Structure: optimized geometry

Geometry as POSCAR:
```
Ba2Ni3
1.0
6.4695 -2.3549 -1.7408
-2.4581 6.0374 -2.8175
5.4885 0.5010 5.2348
Ba Ni
4 6
direct
0.6024 0.3976 0.1928 Ba
0.8976 0.1024 0.3072 Ba
0.1024 0.8976 0.6928 Ba
0.3976 0.6024 0.8072 Ba
0.0628 0.5628 0.2500 Ni
0.4372 0.7500 0.2500 Ni
0.2500 0.9372 0.2500 Ni
0.7500 0.0628 0.7500 Ni
0.5628 0.2500 0.7500 Ni
0.9372 0.4372 0.7500 Ni
```

Final energy, eV per atom: -3.6075
SG: R-3c, No. 167

=====

Compound: BaNiOs2
Source: OQMD
Functional: PBE-GGA
Structure: optimized geometry

Geometry as POSCAR:
```
BaNiOs2
1.0
2.3406 1.3513 3.8221
-2.3406 1.3513 3.8221
0.0000 -2.7026 3.8221
Ba Ni Os
1 1 2
direct
0.2500 0.2500 0.2500 Ba
0.0000 0.0000 0.0000 Ni
0.5000 0.5000 0.5000 Os
0.7500 0.7500 0.7500 Os
```

Final energy, eV per atom: -6.1719
SG: F-43m, No. 216

=====

no.,magnetic moment (μB/f.u.)
1,3.16
2,0.02
3,0.15
4,0.18